1.
Ac2Pr3Ag2: optimized geometry, GGA-PBE.

Summary:
The volume is 237.0 Å³/cell. The formation energy comes out at -1.6 kcal/mol of atoms. Its excess energy over the best structure of this formula in the dataset is 51.7 meV/atom. As for the density of states at the Fermi level: 9.27 states/eV/f.u.

Lattice parameters (Å, degrees): 3.8521 3.8246 16.2021 90.00 96.83 90.00
Closest atoms and distances in Å follow each position.
Sites, in units of the cell vectors:
Pr (0.4213, 0.5000, 0.8425)  4 Ag 3.24
Pr (0.0000, 0.0000, 0.0000)  12 Pr 3.71-3.85
Pr (0.5787, 0.5000, 0.1575)  4 Ag 3.24
Ag (0.1337, 0.0000, 0.2674)  4 Pr 3.24, 4 Ac 3.42
Ag (0.8663, 0.0000, 0.7326)  4 Pr 3.24, 4 Ac 3.42
Ac (0.3015, 0.5000, 0.6030)  4 Ag 3.42, 4 Ac 3.82-3.83
Ac (0.6985, 0.5000, 0.3970)  4 Ag 3.42, 4 Ac 3.82-3.83

2.
Ac2PrAg6: optimized geometry, GGA-PBE.

Summary:
The volume is 243.6 Å³/cell. The formation energy comes out at -3.7 kcal/mol of atoms. Its excess energy over the best structure of this formula in the dataset is 115.4 meV/atom. As for the density of states at the Fermi level: 5.85 states/eV/f.u.

Lattice parameters (Å, degrees): 3.8629 8.9215 8.9215 54.80 77.50 77.50
Closest atoms and distances in Å follow each position.
Sites, in units of the cell vectors:
Ag (0.8325, 0.4947, 0.8404)  2 Ag 2.83-2.84
Ag (0.1675, 0.1596, 0.5053)  2 Ag 2.83-2.84
Ag (0.0000, 0.8170, 0.1830)  3 Ag 2.83-3.01
Ag (0.1675, 0.5053, 0.1596)  2 Ag 2.83-2.84
Ag (0.0000, 0.1830, 0.8170)  3 Ag 2.83-3.01
Ag (0.8325, 0.8404, 0.4947)  2 Ag 2.83-2.84
Ac (0.3565, 0.1435, 0.1435)  10 Ag 3.23-3.33
Ac (0.6435, 0.8565, 0.8565)  10 Ag 3.23-3.33
Pr (0.5000, 0.5000, 0.5000)  12 Ag 3.24-3.52

3.
Ac3Pr3Ag4: optimized geometry, GGA-PBE.

Summary:
The volume is 318.7 Å³/cell. The formation energy comes out at -4.0 kcal/mol of atoms. As for the density of states at the Fermi level: 12.02 states/eV/f.u.

Lattice parameters (Å, degrees): 4.0982 8.8188 8.8188 89.89 90.00 90.00
Closest atoms and distances in Å follow each position.
Sites, in units of the cell vectors:
Pr (0.5000, 0.1716, 0.8284)  6 Ag 3.22-3.27
Pr (0.0000, 0.4912, 0.9977)  4 Ag 3.37-3.64
Pr (0.0000, 0.0023, 0.5088)  4 Ag 3.37-3.64
Ag (0.0000, 0.8854, 0.8731)  1 Ag 3.01, 3 Pr 3.27-3.37, 4 Ac 3.31-3.34
Ag (0.0000, 0.1269, 0.1146)  1 Ag 3.01, 3 Pr 3.27-3.37, 4 Ac 3.31-3.34
Ag (0.0000, 0.3709, 0.6291)  1 Ag 3.14, 4 Pr 3.22-3.42, 4 Ac 3.36
Ag (0.0000, 0.6231, 0.3769)  1 Ag 3.14, 6 Ac 3.31-3.34
Ac (0.5000, 0.8322, 0.1678)  6 Ag 3.31-3.34
Ac (0.5000, 0.3271, 0.3307)  6 Ag 3.31-3.36
Ac (0.5000, 0.6693, 0.6729)  6 Ag 3.31-3.36

4.
AcPr2Ag9: optimized geometry, GGA-PBE.

Summary:
The volume is 274.6 Å³/cell. The formation energy comes out at -4.1 kcal/mol of atoms. As for the density of states at the Fermi level: 8.97 states/eV/f.u.

Lattice parameters (Å, degrees): 5.8330 5.8330 9.9080 72.88 72.88 60.00
Closest atoms and distances in Å follow each position.
Sites, in units of the cell vectors:
Ag (0.5842, 0.5842, 0.7484)  7 Ag 2.86-2.92
Ag (0.5000, 0.5000, 0.5000)  6 Ag 2.86
Ag (0.6674, 0.6674, 0.9978)  6 Ag 2.87-2.90
Ag (0.5842, 0.0832, 0.7484)  7 Ag 2.86-2.92
Ag (0.4158, 0.9168, 0.2516)  7 Ag 2.86-2.92
Ag (0.4158, 0.4158, 0.2516)  7 Ag 2.86-2.92
Ag (0.3326, 0.3326, 0.0022)  6 Ag 2.87-2.90
Ag (0.9168, 0.4158, 0.2516)  7 Ag 2.86-2.92
Ag (0.0832, 0.5842, 0.7484)  7 Ag 2.86-2.92
Pr (0.8521, 0.8521, 0.4438)  12 Ag 3.30-3.42, 3 Pr 3.53
Pr (0.1479, 0.1479, 0.5562)  12 Ag 3.30-3.42, 3 Pr 3.53
Ac (0.0000, 0.0000, 0.0000)  18 Ag 3.37-3.74

5.
AcPr4Ag5: optimized geometry, GGA-PBE.

Summary:
The volume is 278.7 Å³/cell. The formation energy comes out at -5.6 kcal/mol of atoms. As for the density of states at the Fermi level: 9.12 states/eV/f.u.

Lattice parameters (Å, degrees): 3.8031 3.8031 19.2697 90.00 90.00 90.00
Closest atoms and distances in Å follow each position.
Sites, in units of the cell vectors:
Ag (0.5000, 0.5000, 0.8900)  4 Pr 3.26, 4 Ac 3.42
Ag (0.5000, 0.5000, 0.1100)  4 Pr 3.26, 4 Ac 3.42
Ag (0.5000, 0.5000, 0.6965)  8 Pr 3.29
Ag (0.5000, 0.5000, 0.5000)  8 Pr 3.29
Ag (0.5000, 0.5000, 0.3035)  8 Pr 3.29
Pr (0.0000, 0.0000, 0.7947)  8 Ag 3.26-3.29
Pr (0.0000, 0.0000, 0.4020)  8 Ag 3.29
Pr (0.0000, 0.0000, 0.5980)  8 Ag 3.29
Pr (0.0000, 0.0000, 0.2053)  8 Ag 3.26-3.29
Ac (0.0000, 0.0000, 0.0000)  8 Ag 3.42, 4 Ac 3.80

6.
Ac2Pr2Ag: optimized geometry, GGA-PBE.

Summary:
The volume is 181.2 Å³/cell. The formation energy comes out at -1.9 kcal/mol of atoms. As for the density of states at the Fermi level: 6.27 states/eV/f.u.

Lattice parameters (Å, degrees): 3.8868 3.8868 12.3028 99.09 99.09 90.00
Closest atoms and distances in Å follow each position.
Sites, in units of the cell vectors:
Ag (0.0000, 0.0000, 0.0000)  8 Ac 3.42
Pr (0.8006, 0.8006, 0.6012)  8 Pr 3.67-3.89, 4 Ac 3.88
Pr (0.1994, 0.1994, 0.3988)  8 Pr 3.67-3.89, 4 Ac 3.88
Ac (0.5851, 0.5851, 0.1701)  4 Ag 3.42
Ac (0.4149, 0.4149, 0.8299)  4 Ag 3.42

7.
AcPr4Ag: optimized geometry, GGA-PBE.

Summary:
The volume is 208.2 Å³/cell. The formation energy comes out at -1.3 kcal/mol of atoms. As for the density of states at the Fermi level: 10.50 states/eV/f.u.

Lattice parameters (Å, degrees): 3.8022 3.8022 14.4022 90.00 90.00 90.00
Closest atoms and distances in Å follow each position.
Sites, in units of the cell vectors:
Pr (0.0000, 0.0000, 0.6304)  4 Ag 3.28
Pr (0.5000, 0.5000, 0.1902)  8 Pr 3.73-3.80, 4 Ac 3.84
Pr (0.5000, 0.5000, 0.8098)  8 Pr 3.73-3.80, 4 Ac 3.84
Pr (0.0000, 0.0000, 0.3696)  4 Ag 3.28
Ac (0.0000, 0.0000, 0.0000)  4 Ac 3.80, 8 Pr 3.84
Ag (0.5000, 0.5000, 0.5000)  8 Pr 3.28

8.
AcPr2Ag4: optimized geometry, GGA-PBE.

Summary:
The volume is 211.1 Å³/cell. The formation energy comes out at -1.2 kcal/mol of atoms. As for the density of states at the Fermi level: 6.02 states/eV/f.u.

Lattice parameters (Å, degrees): 6.5358 6.5358 6.5358 118.29 105.25 105.25
Closest atoms and distances in Å follow each position.
Sites, in units of the cell vectors:
Ag (0.5000, 0.5000, 0.5000)  4 Pr 3.27, 2 Ac 3.27, 2 Ag 3.35
Ag (0.5000, 0.0000, 0.0000)  4 Pr 3.27, 2 Ac 3.27, 2 Ag 3.35
Ag (0.0000, 0.5000, 0.0000)  4 Pr 3.27, 2 Ac 3.27, 2 Ag 3.35
Ag (0.0000, 0.0000, 0.5000)  2 Ac 3.27, 4 Pr 3.27, 2 Ag 3.35
Ac (0.0000, 0.0000, 0.0000)  8 Ag 3.27
Pr (0.5000, 0.5000, 0.0000)  8 Ag 3.27, 2 Pr 3.35
Pr (0.5000, 0.0000, 0.5000)  8 Ag 3.27, 2 Pr 3.35

9.
AcPr2Ag6: optimized geometry, GGA-PBE.

Summary:
The volume is 233.6 Å³/cell. The formation energy comes out at -4.4 kcal/mol of atoms. Its excess energy over the best structure of this formula in the dataset is 70.4 meV/atom. As for the density of states at the Fermi level: 6.82 states/eV/f.u.

Lattice parameters (Å, degrees): 3.8622 8.7148 8.7148 55.34 77.20 77.20
Closest atoms and distances in Å follow each position.
Sites, in units of the cell vectors:
Ag (0.8237, 0.4931, 0.8595)  4 Ag 2.87-3.12, 1 Pr 3.12
Ag (0.8237, 0.8595, 0.4931)  4 Ag 2.87-3.12, 1 Pr 3.12
Ag (0.1763, 0.1405, 0.5069)  4 Ag 2.87-3.12, 1 Pr 3.12
Ag (0.0000, 0.1769, 0.8231)  3 Ag 2.86-2.87, 4 Pr 3.19
Ag (0.1763, 0.5069, 0.1405)  4 Ag 2.87-3.12, 1 Pr 3.12
Ag (0.0000, 0.8231, 0.1769)  3 Ag 2.86-2.87, 4 Pr 3.19
Pr (0.3598, 0.1402, 0.1402)  10 Ag 3.12-3.26
Pr (0.6402, 0.8598, 0.8598)  10 Ag 3.12-3.26
Ac (0.5000, 0.5000, 0.5000)  12 Ag 3.25-3.59

10.
AcPr2Ag: optimized geometry, GGA-PBE.

Summary:
The volume is 272.3 Å³/cell. The formation energy comes out at -1.9 kcal/mol of atoms. Its excess energy over the best structure of this formula in the dataset is 19.2 meV/atom. As for the density of states at the Fermi level: 5.02 states/eV/f.u.

Lattice parameters (Å, degrees): 5.2560 6.7478 8.3382 90.00 90.00 112.94
Closest atoms and distances in Å follow each position.
Sites, in units of the cell vectors:
Ag (0.2062, 0.4124, 0.2500)  6 Pr 3.02-3.28, 1 Ac 3.24
Ag (0.7938, 0.5876, 0.7500)  6 Pr 3.02-3.28, 1 Ac 3.24
Pr (0.6435, 0.2867, 0.4656)  3 Ag 3.02-3.28
Pr (0.3565, 0.7133, 0.9656)  3 Ag 3.02-3.28
Pr (0.3565, 0.7133, 0.5344)  3 Ag 3.02-3.28
Pr (0.6435, 0.2867, 0.0344)  3 Ag 3.02-3.28
Ac (0.9453, 0.8905, 0.2500)  1 Ag 3.24
Ac (0.0547, 0.1095, 0.7500)  1 Ag 3.24

11.
Ac2Pr3Ag2: optimized geometry, GGA-PBE.

Summary:
The volume is 238.3 Å³/cell. The formation energy comes out at -2.8 kcal/mol of atoms. Its excess energy over the best structure of this formula in the dataset is 0.0 meV/atom. As for the density of states at the Fermi level: 9.39 states/eV/f.u.

Lattice parameters (Å, degrees): 4.0225 6.9127 9.9257 114.35 90.00 106.91
Closest atoms and distances in Å follow each position.
Sites, in units of the cell vectors:
Pr (0.3835, 0.7670, 0.5504)  3 Ag 3.20-3.27
Pr (0.6165, 0.2330, 0.4496)  3 Ag 3.20-3.27
Pr (0.5000, 0.0000, 0.0000)  4 Ag 3.10
Ac (0.8498, 0.6996, 0.1909)  2 Ag 3.36
Ac (0.1502, 0.3004, 0.8091)  2 Ag 3.36
Ag (0.8391, 0.6782, 0.7695)  5 Pr 3.10-3.27, 2 Ac 3.36
Ag (0.1609, 0.3218, 0.2305)  5 Pr 3.10-3.27, 2 Ac 3.36

12.
AcPr2Ag: optimized geometry, GGA-PBE.

Summary:
The volume is 138.4 Å³/cell. The formation energy comes out at 0.2 kcal/mol of atoms. Its excess energy over the best structure of this formula in the dataset is 108.8 meV/atom. As for the density of states at the Fermi level: 5.32 states/eV/f.u.

Lattice parameters (Å, degrees): 3.8309 3.8309 11.1097 80.07 80.07 60.00
Closest atoms and distances in Å follow each position.
Sites, in units of the cell vectors:
Ag (0.0000, 0.0000, 0.0000)  6 Pr 3.21
Ac (0.5000, 0.5000, 0.5000)  6 Pr 3.83, 6 Ac 3.83
Pr (0.7377, 0.7377, 0.7868)  3 Ag 3.21
Pr (0.2623, 0.2623, 0.2132)  3 Ag 3.21

- Number 6 is which compound?
  Ac2Pr2Ag

- Which formula does entry 5 have?
  AcPr4Ag5

- Which of these has the highest volume?
  Ac3Pr3Ag4